# 1
Compound: KSi3Ni
Source: Alexandria via LeMat-Bulk
Functional: PBE
Structure: optimized geometry

Properties
energy relative to the elements, uncorrected	2.506	eV/atom
crystal system	cubic
SG	Pm-3m (221)

Cell lengths 5.173, 5.173, 5.173 Å; angles 90.00, 90.00, 90.00 degrees
Fractional coordinates of all 5 atoms:
Ni: 0.500 0.500 0.500
K: 0.000 0.000 0.000
Si: 0.000 0.500 0.000
Si: 0.000 0.000 0.500
Si: 0.500 0.000 0.000

=====

# 2
Compound: KSi2Ni
Source: Alexandria via LeMat-Bulk
Functional: PBE
Structure: optimized geometry

Properties
energy relative to the elements, uncorrected	0.224	eV/atom
crystal system	trigonal
SG	R-3m (166)

Cell lengths 9.296, 9.296, 9.296 Å; angles 18.36, 18.36, 18.36 degrees
Fractional coordinates of all 4 atoms:
K: 0.250 0.250 0.250
Ni: 0.750 0.750 0.750
Si: 0.021 0.021 0.021
Si: 0.479 0.479 0.479

=====

# 3
Compound: KSi2Ni
Source: Alexandria via LeMat-Bulk
Functional: PBE
Structure: optimized geometry

Properties
energy relative to the elements, uncorrected	-0.184	eV/atom
crystal system	monoclinic
SG	C2/m (12)

Cell lengths 3.918, 3.918, 6.730 Å; angles 73.14, 73.14, 59.98 degrees
Fractional coordinates of all 4 atoms:
K: 0.250 0.250 0.250
Ni: 0.750 0.750 0.750
Si: 0.051 0.051 0.847
Si: 0.449 0.449 0.653

=====

# 4
Compound: KSi2Ni
Source: Alexandria via LeMat-Bulk
Functional: PBE
Structure: optimized geometry

Properties
energy relative to the elements, uncorrected	0.713	eV/atom
crystal system	cubic
SG	Fm-3m (225)

Cell lengths 4.586, 4.586, 4.586 Å; angles 60.00, 60.00, 60.00 degrees
Fractional coordinates of all 4 atoms:
Ni: 0.500 0.500 0.500
K: 0.000 0.000 0.000
Si: 0.250 0.250 0.250
Si: 0.750 0.750 0.750

=====

- Which of these has the highest energy relative to the elements, uncorrected?
  KSi3Ni

=====

- Among the records above, which one has the lowest energy relative to the elements, uncorrected?
  number 3

=====

- Number 1 is which compound?
  KSi3Ni

=====

Repeat the third record exactly.
Compound: KSi2Ni
Source: Alexandria via LeMat-Bulk
Functional: PBE
Structure: optimized geometry

Properties
energy relative to the elements, uncorrected	-0.184	eV/atom
crystal system	monoclinic
SG	C2/m (12)

Cell lengths 3.918, 3.918, 6.730 Å; angles 73.14, 73.14, 59.98 degrees
Fractional coordinates of all 4 atoms:
K: 0.250 0.250 0.250
Ni: 0.750 0.750 0.750
Si: 0.051 0.051 0.847
Si: 0.449 0.449 0.653